Entry 1:
{
  "formula": "Ho2Be4NiPt3",
  "functional": "PBE-GGA",
  "state": "optimized geometry",
  "lattice_angstrom": [[-0.5486, -1.8509, -3.4096], [-0.2625, -3.4179, 1.8977], [-9.4922, 1.2118, 0.8695]],
  "species": ["Pt", "Be", "Be", "Be", "Ho", "Ho", "Pt", "Pt", "Ni", "Be"],
  "frac_coords": [[0.0000, 0.0000, 0.5000], [0.0000, 0.0000, 0.0000], [0.5000, 0.5000, 0.0000], [0.0000, 0.5000, 0.3780], [0.0000, 0.5000, 0.7457], [0.5000, 0.0000, 0.2543], [0.5000, 0.0000, 0.8672], [0.0000, 0.5000, 0.1328], [0.5000, 0.5000, 0.5000], [0.5000, 0.0000, 0.6220]],
  "delta_e_f_ev_per_atom": -0.803,
  "space_group": "P-4m2 (115)"
}

=====

Entry 2:
{
  "formula": "Na3Ag2RuO6",
  "functional": "PBE-GGA",
  "state": "optimized geometry",
  "lattice_angstrom": [[5.6819, 0.2301, -0.1316], [-2.6403, 5.0364, -0.1316], [-1.1326, -1.9611, 5.4119]],
  "species": ["Ru", "O", "O", "Na", "Ag", "Ag", "O", "Na", "Na", "O", "O", "O"],
  "frac_coords": [[0.0000, 0.0000, 0.0000], [0.2240, 0.2240, 0.8293], [0.9462, 0.6540, 0.7657], [0.1713, 0.8287, 0.5000], [0.3287, 0.6713, 0.0000], [0.6713, 0.3287, 0.0000], [0.0538, 0.3460, 0.2343], [0.8287, 0.1713, 0.5000], [0.5000, 0.5000, 0.5000], [0.7760, 0.7760, 0.1707], [0.3460, 0.0538, 0.2343], [0.6540, 0.9462, 0.7657]],
  "space_group": "C2/m (12)",
  "raw_formation_energy_mev_per_atom": -876
}

=====

Entry 3:
{
  "formula": "K2CaNbSe",
  "functional": "PBE-GGA",
  "state": "optimized geometry",
  "lattice_angstrom": [[7.0767, 0.0000, 0.0000], [0.0000, 5.1753, 0.0000], [0.0000, 0.0000, 7.0767]],
  "species": ["Se", "K", "Ca", "K", "Nb"],
  "frac_coords": [[0.0000, 0.5000, 0.0000], [0.0000, 0.0000, 0.5000], [0.0000, 0.0000, 0.0000], [0.5000, 0.0000, 0.0000], [0.5000, 0.5000, 0.5000]],
  "space_group": "P4/mmm (123)",
  "raw_formation_energy_mev_per_atom": 788
}

=====

Entry 4:
{
  "formula": "MoOsW2",
  "functional": "PBE-GGA",
  "state": "optimized geometry",
  "lattice_angstrom": [[-7.7192, 2.5378, -5.2182], [-6.7713, 0.5174, -6.8657], [-8.4222, -0.0996, -4.7236]],
  "species": ["W", "Os", "Mo", "W"],
  "frac_coords": [[0.4964, 0.4964, 0.4964], [0.7500, 0.7500, 0.7500], [0.2500, 0.2500, 0.2500], [0.0036, 0.0036, 0.0036]],
  "delta_e_f_ev_per_atom": 0.296,
  "polymorph_energy_ev_per_atom": 0.1609,
  "space_group": "R-3m (166)"
}

=====

Entry 5:
{
  "formula": "CsSeBr3",
  "functional": "PBE-GGA",
  "state": "optimized geometry",
  "lattice_angstrom": [[23.4061, 0.0000, 1.3849], [8.4525, 2.5658, -3.2859], [-8.4525, 2.5658, 3.2859]],
  "species": ["Cs", "Br", "Se", "Br", "Cs", "Br", "Br", "Se", "Br", "Br"],
  "frac_coords": [[0.2604, 0.0587, 0.9413], [0.5401, 0.6046, 0.3954], [0.0981, 0.0360, 0.9640], [0.8696, 0.4655, 0.5345], [0.7396, 0.9413, 0.0587], [0.7361, 0.2577, 0.7423], [0.4599, 0.3954, 0.6046], [0.9019, 0.9640, 0.0360], [0.2639, 0.7423, 0.2577], [0.1304, 0.5345, 0.4655]],
  "space_group": "C2/m (12)",
  "raw_formation_energy_mev_per_atom": -678
}

=====

Entry 6:
{
  "formula": "VNi3N",
  "functional": "PBE-GGA",
  "state": "optimized geometry",
  "lattice_angstrom": [[3.7866, 0.0000, 0.0000], [0.0000, 3.7866, 0.0000], [0.0000, 0.0000, 3.7866]],
  "species": ["N", "Ni", "Ni", "V", "Ni"],
  "frac_coords": [[0.0000, 0.0000, 0.0000], [0.0000, 0.0000, 0.5000], [0.5000, 0.0000, 0.0000], [0.5000, 0.5000, 0.5000], [0.0000, 0.5000, 0.0000]],
  "polymorph_energy_ev_per_atom": 0.0000,
  "space_group": "Pm-3m (221)",
  "raw_formation_energy_mev_per_atom": 109
}

=====

Entry 7:
{
  "formula": "Sm4Y3Te8",
  "functional": "PBE-GGA",
  "state": "optimized geometry",
  "lattice_angstrom": [[-6.9188, 4.4477, 3.0739], [-0.4121, -3.8760, -7.8699], [2.2747, -7.6576, 3.6491]],
  "species": ["Y", "Te", "Te", "Sm", "Te", "Y", "Te", "Y", "Te", "Sm", "Te", "Sm", "Te", "Te", "Sm"],
  "frac_coords": [[0.5000, 0.5000, 0.5000], [0.0000, 0.2573, 0.7427], [0.0043, 0.2595, 0.2595], [0.5000, 0.0000, 0.0000], [0.5000, 0.7479, 0.2521], [0.5000, 0.0000, 0.5000], [0.0000, 0.7427, 0.2573], [0.5000, 0.5000, 0.0000], [0.5000, 0.2521, 0.7479], [0.0000, 0.0000, 0.0000], [0.5149, 0.2596, 0.2596], [0.0000, 0.0000, 0.5000], [0.9957, 0.7405, 0.7405], [0.4851, 0.7404, 0.7404], [0.0000, 0.5000, 0.0000]],
  "space_group": "C2/m (12)",
  "raw_formation_energy_mev_per_atom": -1412
}

=====

Entry 8:
{
  "formula": "CsRbCrCl6",
  "functional": "PBE-GGA",
  "state": "optimized geometry",
  "lattice_angstrom": [[7.6610, 0.0014, -0.0014], [3.8318, 6.6376, -0.0029], [-0.0001, 0.0003, 6.7448]],
  "species": ["Cl", "Cl", "Cr", "Cl", "Rb", "Cl", "Cl", "Cl", "Cs"],
  "frac_coords": [[0.0889, 0.5799, 0.6996], [0.3314, 0.5794, 0.3000], [0.3334, 0.3333, 0.5000], [0.3314, 0.0892, 0.7000], [0.6664, 0.6668, 0.5000], [0.5797, 0.0888, 0.3003], [0.0888, 0.3312, 0.3004], [0.5798, 0.3315, 0.6996], [0.9999, 0.0000, 0.0000]],
  "space_group": "P312 (149)",
  "raw_formation_energy_mev_per_atom": -1364
}

=====

Entry 9:
{
  "formula": "KSr2MgHg",
  "functional": "PBE-GGA",
  "state": "optimized geometry",
  "lattice_angstrom": [[6.4077, 0.0000, 0.0000], [0.0000, 6.4077, 0.0000], [0.0000, 0.0000, 5.5152]],
  "species": ["Sr", "Mg", "K", "Sr", "Hg"],
  "frac_coords": [[0.0000, 0.5000, 0.0000], [0.0000, 0.0000, 0.5000], [0.5000, 0.5000, 0.5000], [0.5000, 0.0000, 0.0000], [0.0000, 0.0000, 0.0000]],
  "delta_e_f_ev_per_atom": -0.071,
  "space_group": "P4/mmm (123)"
}

=====

Entry 10:
{
  "formula": "KCd3Hg4",
  "functional": "PBE-GGA",
  "state": "optimized geometry",
  "lattice_angstrom": [[-0.4168, -3.5117, 4.1365], [3.6461, -3.2536, -2.3949], [5.9800, 3.8464, 3.8859]],
  "species": ["K", "Cd", "Hg", "Hg", "Cd", "Hg", "Hg", "Cd"],
  "frac_coords": [[0.0000, 0.0000, 0.5000], [0.0000, 0.0000, 0.0000], [0.0004, 0.5000, 0.1905], [0.9996, 0.5000, 0.8095], [0.5000, 0.5000, 0.3218], [0.5000, 0.9999, 0.1905], [0.5000, 0.0001, 0.8095], [0.5000, 0.5000, 0.6782]],
  "delta_e_f_ev_per_atom": -0.071,
  "space_group": "P2/m (10)"
}

=====

Entry 11:
{
  "formula": "CsTaPS2",
  "functional": "PBE-GGA",
  "state": "optimized geometry",
  "lattice_angstrom": [[5.1429, 0.0000, 0.0000], [0.0000, 5.1429, 0.0000], [0.0000, 0.0000, 5.5107]],
  "species": ["Cs", "P", "Ta", "S", "S"],
  "frac_coords": [[0.0000, 0.0000, 0.0000], [0.0000, 0.0000, 0.5000], [0.5000, 0.5000, 0.5000], [0.0000, 0.5000, 0.0000], [0.5000, 0.0000, 0.0000]],
  "space_group": "P4/mmm (123)",
  "raw_formation_energy_mev_per_atom": 2244
}

=====

Entry 12:
{
  "formula": "NaCoOs3",
  "functional": "PBE-GGA",
  "state": "optimized geometry",
  "lattice_angstrom": [[-4.3283, -0.9802, 0.5591], [0.2547, -3.0077, -3.3011], [1.0994, -3.1624, 2.9662]],
  "species": ["Os", "Co", "Na", "Os", "Os"],
  "frac_coords": [[0.0000, 0.5000, 0.0000], [0.0000, 0.0000, 0.0000], [0.5000, 0.5000, 0.5000], [0.5000, 0.0000, 0.0000], [0.0000, 0.0000, 0.5000]],
  "delta_e_f_ev_per_atom": 1.835,
  "polymorph_energy_ev_per_atom": 0.0000,
  "space_group": "Pm-3m (221)"
}

=====

Entry 13:
{
  "formula": "SrAlGaPd3",
  "functional": "PBE-GGA",
  "state": "optimized geometry",
  "lattice_angstrom": [[-2.7674, -1.6870, 4.7966], [4.2427, -5.2783, 0.5914], [1.7777, 6.1641, 3.1936]],
  "species": ["Ga", "Al", "Ga", "Pd", "Pd", "Sr", "Al", "Pd", "Pd", "Pd", "Sr", "Pd"],
  "frac_coords": [[0.7500, 0.6266, 0.2532], [0.7500, 0.0213, 0.0425], [0.2500, 0.3734, 0.7468], [0.7500, 0.8258, 0.6517], [0.5000, 0.2921, 0.0000], [0.2500, 0.7182, 0.4364], [0.2500, 0.9787, 0.9575], [0.0000, 0.7079, 0.0000], [0.5000, 0.7079, 0.0000], [0.2500, 0.1742, 0.3483], [0.7500, 0.2818, 0.5636], [0.0000, 0.2921, 0.0000]],
  "delta_e_f_ev_per_atom": -0.595,
  "space_group": "Cmcm (63)"
}

=====

Entry 14:
{
  "formula": "GaReRh2O",
  "functional": "PBE-GGA",
  "state": "optimized geometry",
  "lattice_angstrom": [[4.6466, 0.0000, 0.0000], [0.0000, 4.9318, 0.0000], [0.0000, 0.0000, 4.6466]],
  "species": ["Rh", "Re", "Rh", "Ga", "O"],
  "frac_coords": [[0.5000, 0.0000, 0.0000], [0.0000, 0.0000, 0.0000], [0.0000, 0.0000, 0.5000], [0.0000, 0.5000, 0.0000], [0.5000, 0.5000, 0.5000]],
  "space_group": "P4/mmm (123)",
  "raw_formation_energy_mev_per_atom": 1471
}

=====

Entry 15:
{
  "formula": "Ta2NiW",
  "functional": "PBE-GGA",
  "state": "optimized geometry",
  "lattice_angstrom": [[-2.5244, -0.0284, -1.0963], [0.8370, -2.6200, -0.1032], [-3.3844, -1.3898, 7.8294]],
  "species": ["Ta", "Ta", "Ni", "W"],
  "frac_coords": [[0.0000, 0.0000, 0.5178], [0.0000, 0.0000, 0.9822], [0.5000, 0.5000, 0.7500], [0.5000, 0.5000, 0.2500]],
  "delta_e_f_ev_per_atom": -0.082,
  "space_group": "Cmmm (65)"
}

=====

Entry 16:
{
  "formula": "BeSn2Os2",
  "functional": "PBE-GGA",
  "state": "optimized geometry",
  "lattice_angstrom": [[-2.9515, -2.8463, -1.0624], [0.6413, -2.0315, 3.6610], [-5.1444, 0.7720, 3.7799]],
  "species": ["Os", "Sn", "Os", "Be", "Sn"],
  "frac_coords": [[0.3938, 0.3938, 0.2125], [0.7500, 0.2500, 0.5000], [0.6062, 0.6062, 0.7875], [0.0000, 0.0000, 0.0000], [0.2500, 0.7500, 0.5000]],
  "delta_e_f_ev_per_atom": 0.989,
  "polymorph_energy_ev_per_atom": 0.6593,
  "space_group": "I4/mmm (139)"
}

=====

Entry 17:
{
  "formula": "Tb3CdPd3",
  "functional": "PBE-GGA",
  "state": "optimized geometry",
  "lattice_angstrom": [[5.1162, 0.0000, 0.0000], [0.0000, 8.4256, 0.0000], [0.0000, -4.2128, 7.2968]],
  "species": ["Pd", "Pd", "Tb", "Tb", "Pd", "Tb", "Cd", "Pd", "Tb", "Pd", "Tb", "Tb", "Cd", "Pd"],
  "frac_coords": [[0.2500, 0.8233, 0.7812], [0.2500, 0.9579, 0.1767], [0.7500, 0.6709, 0.5880], [0.7500, 0.4120, 0.0829], [0.7500, 0.0421, 0.8233], [0.2500, 0.0829, 0.6709], [0.7500, 0.3333, 0.6667], [0.7500, 0.1767, 0.2188], [0.2500, 0.5880, 0.9171], [0.7500, 0.7812, 0.9579], [0.2500, 0.3291, 0.4120], [0.7500, 0.9171, 0.3291], [0.2500, 0.6667, 0.3333], [0.2500, 0.2188, 0.0421]],
  "delta_e_f_ev_per_atom": -0.618,
  "space_group": "P6_3/m (176)"
}

=====

Entry 18:
{
  "formula": "CdNi",
  "functional": "PBE-GGA",
  "state": "optimized geometry",
  "lattice_angstrom": [[-2.8895, 0.4733, 6.4986], [4.7754, -4.6826, 2.4643], [4.4329, 5.3529, 1.5812]],
  "species": ["Cd", "Cd", "Ni", "Cd", "Ni", "Cd", "Ni", "Ni", "Cd", "Ni", "Cd", "Ni"],
  "frac_coords": [[0.0000, 0.5000, 0.7500], [0.7500, 0.0000, 0.5000], [0.0000, 0.7500, 0.5000], [0.5000, 0.2500, 0.0000], [0.5000, 0.0000, 0.7500], [0.5000, 0.7500, 0.0000], [0.5000, 0.0000, 0.2500], [0.7500, 0.5000, 0.0000], [0.0000, 0.5000, 0.2500], [0.2500, 0.5000, 0.0000], [0.2500, 0.0000, 0.5000], [0.0000, 0.2500, 0.5000]],
  "delta_e_f_ev_per_atom": 0.994,
  "space_group": "Pm-3n (223)"
}

=====

Entry 19:
{
  "formula": "ThP2Ir",
  "functional": "PBE-GGA",
  "state": "optimized geometry",
  "lattice_angstrom": [[-3.8568, 1.9510, 0.9038], [-1.6921, -3.7911, 0.9631], [3.0394, 2.7990, 6.9279]],
  "species": ["Th", "Ir", "Th", "P", "P", "P", "Ir", "P"],
  "frac_coords": [[0.7500, 0.1045, 0.2091], [0.7500, 0.3153, 0.6305], [0.2500, 0.8955, 0.7909], [0.2500, 0.5298, 0.0596], [0.7500, 0.4702, 0.9404], [0.2500, 0.2508, 0.5016], [0.2500, 0.6847, 0.3695], [0.7500, 0.7492, 0.4984]],
  "delta_e_f_ev_per_atom": -1.057,
  "polymorph_energy_ev_per_atom": 0.0000,
  "space_group": "Cmcm (63)"
}

=====

Entry 20:
{
  "formula": "Zr2AgF8",
  "functional": "PBE-GGA",
  "state": "optimized geometry",
  "lattice_angstrom": [[-4.1106, -1.1741, -0.9109], [1.9438, -2.7110, -5.0841], [1.4920, -5.8166, 0.9576]],
  "species": ["F", "F", "Zr", "F", "F", "Zr", "F", "F", "F", "F", "Ag"],
  "frac_coords": [[0.4923, 0.3265, 0.9543], [0.7502, 0.5013, 0.5013], [0.5003, 0.6816, 0.6816], [0.5077, 0.0457, 0.6735], [0.2498, 0.4987, 0.4987], [0.4997, 0.3184, 0.3184], [0.9962, 0.2670, 0.2670], [0.4923, 0.9543, 0.3265], [0.5077, 0.6735, 0.0457], [0.0038, 0.7330, 0.7330], [0.0000, 0.0000, 0.0000]],
  "space_group": "C2/m (12)",
  "raw_formation_energy_mev_per_atom": -3019
}